This record from Alexandria via LeMat-Bulk describes a relaxed Ce6SbRu2 crystal. The functional is PBE-GGA.

Unit cell a=6.3430 b=9.2200 c=9.2200 alpha=61.56 beta=77.31 gamma=77.31
Closest atoms and distances in Å follow each position.
Sites, in units of the cell vectors:
Ru 0.8868 0.2579 0.2469  1 Ce 2.45
Ce 0.2591 0.4248 0.9869  1 Ru 2.45
Ru 0.1132 0.7421 0.7531  1 Ce 2.45
Ce 0.0616 0.6132 0.5458  1 Ru 2.79, 2 Ce 2.89-3.00
Ce 0.9384 0.3868 0.4542  1 Ru 2.79, 2 Ce 2.89-3.00
Ce 0.2107 0.8206 0.0072  1 Ce 2.90, 1 Ru 2.97, 1 Sb 3.16
Ce 0.7409 0.5752 0.0131  1 Ru 2.45
Ce 0.7591 0.9869 0.4248  1 Ru 2.45
Sb 0.7500 0.7719 0.2281  10 Ce 3.16-3.44
Ce 0.2893 0.9928 0.1794  1 Ce 2.90, 1 Ru 2.97, 1 Sb 3.16
Ce 0.2409 0.0131 0.5752  1 Ru 2.45
Sb 0.2500 0.2281 0.7719  10 Ce 3.16-3.44
Ce 0.7107 0.0072 0.8206  1 Ce 2.90, 1 Ru 2.97, 1 Sb 3.16
Ce 0.5616 0.5458 0.6132  1 Ru 2.79, 2 Ce 2.89-3.00
Ce 0.7893 0.1794 0.9928  1 Ce 2.90, 1 Ru 2.97, 1 Sb 3.16
Ru 0.6132 0.7531 0.7421  1 Ce 2.45
Ce 0.4384 0.4542 0.3868  1 Ru 2.79, 2 Ce 2.89-3.00
Ru 0.3868 0.2469 0.2579  1 Ce 2.45

Calculated values
Energy above the lowest structure with this stoichiometry (eV/atom): 0.110
Formation energy without anion corrections (eV/f.u.): -2.9
Space group: C2/c, No. 15
E (eV per atom): -6.798


This record from Alexandria via LeMat-Bulk describes a relaxed LiGa2Ag3 crystal. The functional is PBE-GGA.

Unit cell a=4.8033 b=7.6323 c=7.5823 alpha=126.98 beta=90.00 gamma=108.34
Closest atoms and distances in Å follow each position.
Sites, in units of the cell vectors:
Ga 0.2118 0.4236 0.8762  5 Ag 2.69-2.86, 3 Ga 2.81-2.91, 1 Li 2.85
Li 0.1272 0.2545 0.1277  6 Ag 2.74-2.99, 3 Ga 2.85-2.87, 1 Li 2.88
Ag 0.7093 0.4185 0.3627  3 Ga 2.69-2.94, 3 Li 2.77-2.99, 4 Ag 2.90-2.92
Ag 0.6315 0.2630 0.6358  1 Li 2.74, 5 Ga 2.79-2.92, 4 Ag 2.92-2.97
Ga 0.4694 0.9388 0.1379  6 Ag 2.72-2.94, 2 Ga 2.74-2.91, 2 Li 2.87
Ag 0.3685 0.7370 0.3642  1 Li 2.74, 5 Ga 2.79-2.92, 4 Ag 2.92-2.97
Ag 0.0331 0.0662 0.3530  3 Ga 2.72-2.79, 2 Li 2.78-2.82, 4 Ag 2.90-2.93
Ga 0.7882 0.5764 0.1238  5 Ag 2.69-2.86, 3 Ga 2.81-2.91, 1 Li 2.85
Li 0.8728 0.7455 0.8723  6 Ag 2.74-2.99, 3 Ga 2.85-2.87, 1 Li 2.88
Ga 0.5306 0.0612 0.8621  6 Ag 2.72-2.94, 2 Ga 2.74-2.91, 2 Li 2.87
Ag 0.2907 0.5815 0.6373  3 Ga 2.69-2.94, 3 Li 2.77-2.99, 4 Ag 2.90-2.92
Ag 0.9669 0.9338 0.6470  3 Ga 2.72-2.79, 2 Li 2.78-2.82, 4 Ag 2.90-2.93

Calculated values
Energy relative to the elements (meV/atom): -124
Space group: C2/m, No. 12
E (eV per atom): -2.878


This record from Alexandria via LeMat-Bulk describes a relaxed GdPd2O4 crystal. The functional is PBE-GGA.

Unit cell a=6.5677 b=6.5677 c=6.5677 alpha=127.01 beta=127.01 gamma=78.23
Closest atoms and distances in Å follow each position.
Sites, in units of the cell vectors:
Pd 0.8750 0.6250 0.2500  4 O 2.02-2.04
O 0.6081 0.9572 0.9627  2 Pd 2.02-2.04
Pd 0.3750 0.6250 0.2500  4 O 2.02-2.04
O 0.3955 0.8581 0.1509  2 Pd 2.02-2.04
O 0.9946 0.6455 0.0373  2 Pd 2.02-2.04
O 0.1419 0.2928 0.5373  2 Pd 2.02-2.04
O 0.7554 0.6045 0.4627  2 Pd 2.02-2.04
O 0.3545 0.3919 0.3491  2 Pd 2.02-2.04
O 0.0428 0.0054 0.6509  2 Pd 2.02-2.04
O 0.7072 0.2446 0.8491  2 Pd 2.02-2.04
Gd 0.0000 0.0000 0.0000  8 O 2.37-2.49
Pd 0.3750 0.1250 0.7500  4 O 2.02-2.04
Pd 0.3750 0.6250 0.7500  4 O 2.02-2.04
Gd 0.7500 0.2500 0.5000  8 O 2.37-2.49

Calculated values
Formation energy without anion corrections (eV/f.u.): -10.9
Space group: I4_1/a, No. 88
E (eV per atom): -7.888


This record from Alexandria via LeMat-Bulk describes a relaxed Ac5LaIn3 crystal. The functional is PBE-GGA.

Unit cell a=7.4260 b=10.1385 c=10.1384 alpha=120.00 beta=90.00 gamma=90.00
Closest atoms and distances in Å follow each position.
Sites, in units of the cell vectors:
In 0.2500 0.0000 0.3383  5 Ac 3.36-3.72
In 0.2500 0.6616 0.6617  5 Ac 3.36-3.72
Ac 0.5000 0.3333 0.6666  8 Ac 3.71-3.90, 6 In 3.83
Ac 0.2500 0.3247 0.3247  5 In 3.36-3.72
In 0.2500 0.3384 0.0000  5 Ac 3.36-3.72
Ac 0.2500 0.0000 0.6753  5 In 3.36-3.72
Ac 0.0000 0.6667 0.3334  8 Ac 3.71-3.90, 6 In 3.83
Ac 0.5000 0.6667 0.3334  8 Ac 3.71-3.90, 6 In 3.83
Ac 0.0000 0.3333 0.6666  8 Ac 3.71-3.90, 6 In 3.83
Ac 0.2500 0.6752 0.0000  5 In 3.36-3.72
Ac 0.7500 0.0000 0.3247  5 In 3.36-3.72
Ac 0.7500 0.3248 0.0000  5 In 3.36-3.72
La 0.0000 0.0000 0.0000  2 La 3.71, 6 Ac 3.78, 6 In 3.90
In 0.7500 0.0000 0.6617  5 Ac 3.36-3.72
La 0.5000 0.0000 0.0000  2 La 3.71, 6 Ac 3.78, 6 In 3.90
Ac 0.7500 0.6753 0.6753  5 In 3.36-3.72
In 0.7500 0.6616 0.0000  5 Ac 3.36-3.72
In 0.7500 0.3384 0.3383  5 Ac 3.36-3.72

Calculated values
Energy relative to the elements (meV/atom): -275
Space group: P6_3/mcm, No. 193
E (eV per atom): -4.018


This record from Alexandria via LeMat-Bulk describes a relaxed K2ZnN4 crystal. The functional is PBE-GGA.

Unit cell a=7.1603 b=6.5993 c=8.1125 alpha=68.48 beta=62.92 gamma=65.69
Closest atoms and distances in Å follow each position.
Sites, in units of the cell vectors:
N 0.7754 0.8973 0.4282  1 Zn 1.94
N 0.3312 0.2093 0.8578  1 Zn 1.94
N 0.1759 0.6075 0.5653  1 Zn 1.94
N 0.8235 0.3525 0.8833  1 Zn 1.92
Zn 0.8721 0.6823 0.2742  4 N 1.92-1.94
N 0.6688 0.7907 0.1422  1 Zn 1.94
N 0.2246 0.1027 0.5718  1 Zn 1.94
Zn 0.1279 0.3177 0.7258  4 N 1.92-1.94
K 0.1977 0.0110 0.2524  7 N 2.84-3.06
N 0.1765 0.6475 0.1167  1 Zn 1.92
K 0.5449 0.3589 0.2681  7 N 2.84-3.03
K 0.8023 0.9890 0.7476  7 N 2.84-3.06
K 0.4551 0.6411 0.7319  7 N 2.84-3.03
N 0.8241 0.3925 0.4347  1 Zn 1.94

Calculated values
Energy above the lowest structure with this stoichiometry (eV/atom): 0.011
Formation energy without anion corrections (eV/f.u.): 10.9
Space group: P-1, No. 2
E (eV per atom): -3.701


This record from Alexandria via LeMat-Bulk describes a relaxed Na2ZnCd2 crystal. The functional is PBE-GGA.

Unit cell a=7.2067 b=7.2067 c=5.0176 alpha=90.00 beta=90.00 gamma=90.00
Closest atoms and distances in Å follow each position.
Sites, in units of the cell vectors:
Cd 0.8572 0.6428 0.0000  2 Zn 2.77, 1 Cd 2.91
Cd 0.3572 0.8572 0.0000  2 Zn 2.77, 1 Cd 2.91
Na 0.6705 0.8295 0.5000  6 Cd 3.15-3.38, 1 Na 3.48
Cd 0.1428 0.3572 0.0000  2 Zn 2.77, 1 Cd 2.91
Zn 0.0000 0.0000 0.0000  4 Cd 2.77
Cd 0.6428 0.1428 0.0000  2 Zn 2.77, 1 Cd 2.91
Zn 0.5000 0.5000 0.0000  4 Cd 2.77
Na 0.3295 0.1705 0.5000  6 Cd 3.15-3.38, 1 Na 3.48
Na 0.8295 0.3295 0.5000  6 Cd 3.15-3.38, 1 Na 3.48
Na 0.1705 0.6705 0.5000  6 Cd 3.15-3.38, 1 Na 3.48

Calculated values
Energy above the lowest structure with this stoichiometry (eV/atom): 0.000
Energy relative to the elements (meV/atom): -11
Space group: P4/mbm, No. 127
E (eV per atom): -1.159


This record from Alexandria via LeMat-Bulk describes a relaxed LaCd2Ag2 crystal. The functional is PBE-GGA.

Unit cell a=8.5391 b=8.5391 c=3.1414 alpha=90.00 beta=90.00 gamma=90.00
Closest atoms and distances in Å follow each position.
Sites, in units of the cell vectors:
Ag 0.6753 0.8247 0.5000  6 Cd 2.91-3.02, 2 Ag 3.14
Ag 0.3247 0.1753 0.5000  6 Cd 2.91-3.02, 2 Ag 3.14
Cd 0.8782 0.6218 0.0000  6 Ag 2.91-3.02, 3 Cd 2.94-3.14
Cd 0.6218 0.1218 0.0000  6 Ag 2.91-3.02, 3 Cd 2.94-3.14
Cd 0.3782 0.8782 0.0000  6 Ag 2.91-3.02, 3 Cd 2.94-3.14
La 0.5000 0.5000 0.0000  2 La 3.14, 4 Cd 3.39
La 0.0000 0.0000 0.0000  2 La 3.14, 4 Cd 3.39
Ag 0.1753 0.6753 0.5000  6 Cd 2.91-3.02, 2 Ag 3.14
Ag 0.8247 0.3247 0.5000  6 Cd 2.91-3.02, 2 Ag 3.14
Cd 0.1218 0.3782 0.0000  6 Ag 2.91-3.02, 3 Cd 2.94-3.14

Calculated values
Energy above the lowest structure with this stoichiometry (eV/atom): 0.118
Energy relative to the elements (meV/atom): -111
Space group: P4/mbm, No. 127
E (eV per atom): -2.603


This record from Alexandria via LeMat-Bulk describes a relaxed AlBS crystal. The functional is PBE-GGA.

Unit cell a=3.3527 b=4.9123 c=6.0230 alpha=114.07 beta=106.16 gamma=90.00
Closest atoms and distances in Å follow each position.
Sites, in units of the cell vectors:
S 0.8152 0.8152 0.6303  4 Al 2.44-2.49
S 0.1848 0.1848 0.3697  4 Al 2.44-2.49
B 0.5000 0.3431 0.0000  1 B 1.54
Al 0.8535 0.3535 0.7071  4 B 2.40, 4 S 2.44-2.49
Al 0.1465 0.6465 0.2929  4 B 2.40, 4 S 2.44-2.49
B 0.5000 0.6569 0.0000  1 B 1.54

Calculated values
Energy above the lowest structure with this stoichiometry (eV/atom): 0.664
Formation energy without anion corrections (eV/f.u.): 0.9
Space group: Immm, No. 71
E (eV per atom): -4.563


This record from Alexandria via LeMat-Bulk describes a relaxed KCe2TcO8 crystal. The functional is PBE-GGA.

Unit cell a=5.1545 b=5.0623 c=7.1298 alpha=90.00 beta=90.01 gamma=89.50
Closest atoms and distances in Å follow each position.
Sites, in units of the cell vectors:
K 0.0000 0.0000 0.5000  6 O 2.42-2.61
O 0.8234 0.1924 0.1844  1 Tc 1.87
Ce 0.5002 0.5003 0.7470  4 O 2.14-2.32
O 0.2829 0.2712 0.0000  1 Tc 2.01
O 0.1766 0.8076 0.8156  1 Tc 1.87
Tc 0.0000 0.0000 0.0000  6 O 1.87-2.01
O 0.8233 0.1923 0.8157  1 Tc 1.87
O 0.7171 0.7288 0.0000  1 Tc 2.01
Ce 0.4998 0.4997 0.2530  4 O 2.14-2.32
O 0.1767 0.8077 0.1843  1 Tc 1.87
O 0.3538 0.3121 0.5002  2 Ce 2.14
O 0.6462 0.6879 0.4998  2 Ce 2.14

Calculated values
Formation energy without anion corrections (eV/f.u.): -26.9
Space group: P2/m, No. 10
E (eV per atom): -7.494


This record from Alexandria via LeMat-Bulk describes a relaxed AsRuCl2 crystal. The functional is PBE-GGA.

Unit cell a=3.5194 b=7.0054 c=7.0050 alpha=39.40 beta=90.00 gamma=90.00
Closest atoms and distances in Å follow each position.
Sites, in units of the cell vectors:
Ru 0.5000 0.2500 0.2500  2 As 2.36, 4 Cl 2.42
As 0.5000 0.7500 0.7500  2 Ru 2.36
Cl 0.0000 0.1234 0.1241  2 Ru 2.42
Cl 0.0000 0.3766 0.3759  2 Ru 2.42

Calculated values
Energy above the lowest structure with this stoichiometry (eV/atom): 0.213
Formation energy without anion corrections (eV/f.u.): -0.4
Space group: Cmmm, No. 65
E (eV per atom): -4.517


This record from Alexandria via LeMat-Bulk describes a relaxed Cs2TlBi crystal. The functional is PBE-GGA.

Unit cell a=5.7824 b=5.6167 c=5.6167 alpha=90.00 beta=90.00 gamma=90.00
Closest atoms and distances in Å follow each position.
Sites, in units of the cell vectors:
Cs 0.0000 0.5000 0.0000  4 Cs 3.97, 4 Tl 4.03, 4 Bi 4.03
Bi 0.5000 0.5000 0.5000  4 Tl 3.97, 8 Cs 4.03
Cs 0.0000 0.0000 0.5000  4 Cs 3.97, 4 Tl 4.03, 4 Bi 4.03
Tl 0.5000 0.0000 0.0000  4 Bi 3.97, 8 Cs 4.03

Calculated values
Energy above the lowest structure with this stoichiometry (eV/atom): 0.230
Energy relative to the elements (meV/atom): -79
Space group: P4/mmm, No. 123
E (eV per atom): -2.068


This record from Alexandria via LeMat-Bulk describes a relaxed ZnRh3Se crystal. The functional is PBE-GGA.

Unit cell a=4.5702 b=4.5702 c=4.5702 alpha=90.00 beta=90.00 gamma=90.00
Closest atoms and distances in Å follow each position.
Sites, in units of the cell vectors:
Rh 0.5000 0.0000 0.0000  2 Zn 2.29
Se 0.5000 0.5000 0.5000  12 Rh 3.23
Zn 0.0000 0.0000 0.0000  6 Rh 2.29
Rh 0.0000 0.0000 0.5000  2 Zn 2.29
Rh 0.0000 0.5000 0.0000  2 Zn 2.29

Calculated values
Energy above the lowest structure with this stoichiometry (eV/atom): 0.608
Formation energy without anion corrections (eV/f.u.): 5.2
Space group: Pm-3m, No. 221
E (eV per atom): -4.317


For each record above, in turn, the calculated theoretical density values are 8.438; 7.647; 8.240; 8.131; 2.186; 4.285; 8.402; 2.690; 4.868; 3.740; 6.182; 7.882 Mg/m³.